{
  "formula": "CsBaI",
  "functional": "PBE",
  "state": "optimized geometry",
  "crystal_system": "trigonal",
  "polymorph_energy_ev_per_atom": 0.000,
  "total_magnetization_mub_per_fu": 0.1,
  "dft_energy_ha_per_atom": -0.084,
  "formation_energy_uncorrected_kj_per_mol_atoms": -81.07,
  "lattice": [[9.341, 0.000, 0.000], [0.000, 4.810, 0.000], [0.000, -2.405, 4.165]],
  "species": ["Cs", "I", "Ba"],
  "fractional_positions": [[0.718, 0.667, 0.333], [0.013, 0.000, 0.000], [0.270, 0.333, 0.667]]
}